The following is a DFT calculation (PBE) of a relaxed structure of MgUHgAu.

```
data_MgUHgAu
_chemical_formula_sum 'Mg4 U4 Hg4 Au4'
_symmetry_space_group_name_H-M 'F -4 3 m'
_symmetry_Int_Tables_number 216
_symmetry_space_group_name_Hall 'F -4 2 3'
_cell_length_a 7.117
_cell_length_b 7.117
_cell_length_c 7.117
_cell_angle_alpha 90.00
_cell_angle_beta 90.00
_cell_angle_gamma 90.00
loop_
_atom_site_label
_atom_site_fract_x
_atom_site_fract_y
_atom_site_fract_z
Mg1 0.000 0.000 0.000
U1 0.000 0.000 0.500
Hg1 0.250 0.250 0.250
Au1 0.250 0.250 0.750
```

* uncorrected energy: -67.1 eV per cell
* size of the total moment: 11.3 Bohr magnetons per cell